Version one
## PHS2 (PBE)

Data for PHS2 after structural relaxation.

Unit cell a=7.619 b=7.619 c=7.619 alpha=21.32 beta=21.32 gamma=21.32
Element x y z (fractional)
P 0.000 0.000 0.000
S 0.895 0.895 0.895
S 0.105 0.105 0.105
H 0.500 0.500 0.500

Properties
- Total magnetization: 0.000 μB/atom
- Space group: No. 166


Version two
## PHS2 (PBE)

Data for PHS2 after structural relaxation.

Unit cell a=4.170 b=4.170 c=4.170 alpha=60.00 beta=60.00 gamma=60.00
Element x y z (fractional)
P 0.500 0.500 0.500
S 0.250 0.250 0.250
S 0.750 0.750 0.750
H 0.000 0.000 0.000

Properties
- Total magnetization: 0.000 μB/atom
- Space group: No. 225


Version three
## PHS2 (PBE)

Data for PHS2 after structural relaxation.

Unit cell a=6.267 b=6.267 c=6.267 alpha=33.45 beta=33.45 gamma=33.45
Element x y z (fractional)
P 0.500 0.500 0.500
S 0.908 0.908 0.908
S 0.092 0.092 0.092
H 0.000 0.000 0.000

Properties
- Total magnetization: 0.000 μB/atom
- Space group: No. 166


Version four
## PHS2 (PBE)

Data for PHS2 after structural relaxation.

Unit cell a=4.692 b=10.044 c=8.261 alpha=90.00 beta=90.00 gamma=90.00
Element x y z (fractional)
P 0.904 0.100 0.902
P 0.404 0.900 0.098
P 0.404 0.400 0.402
P 0.904 0.600 0.598
H 0.994 0.169 0.610
H 0.494 0.831 0.390
H 0.494 0.331 0.110
H 0.994 0.669 0.890
S 0.144 0.572 0.814
S 0.644 0.428 0.186
S 0.644 0.928 0.314
S 0.144 0.072 0.686
S 0.707 0.905 0.906
S 0.207 0.095 0.094
S 0.207 0.595 0.406
S 0.707 0.405 0.594

Properties
- Total magnetization: 0.000 μB/atom
- Space group: No. 33


Relative calculated energies, zero for the most stable structure, unit eV/atom: version one 1.060; version two 1.091; version three 0.325; version four 0.000.


Version one
## SbP2HS (PBE)

Data for SbP2HS after structural relaxation.

Unit cell a=3.777 b=3.777 c=5.718 alpha=90.00 beta=90.00 gamma=90.00
Element x y z (fractional)
Sb 0.500 0.500 0.500
S 0.000 0.000 0.500
H 0.000 0.000 0.000
P 0.000 0.500 0.000
P 0.500 0.000 0.000

Properties
- Total magnetization: 0.000 μB/atom
- Space group: No. 123


Version two
## SbP2HS (PBE)

Data for SbP2HS after structural relaxation.

Unit cell a=5.194 b=5.194 c=5.112 alpha=90.00 beta=90.00 gamma=90.00
Site moments in Bohr magnetons follow the coordinates.
Element x y z (fractional)
Sb 0.000 0.000 0.000  -0.01
S 0.000 0.000 0.500  0.10
H 0.500 0.500 0.500  0.36
P 0.000 0.500 0.000  0.40
P 0.500 0.000 0.000  0.40

Properties
- Total magnetization: 0.569 μB/atom
- Space group: No. 123


Relative calculated energies, zero for the most stable structure, unit eV/atom: version one 0.000; version two 0.815.


Version one
## SbPHS2 (PBE)

Data for SbPHS2 after structural relaxation.

Unit cell a=5.082 b=5.082 c=5.258 alpha=90.00 beta=90.00 gamma=90.00
Site moments in Bohr magnetons follow the coordinates.
Element x y z (fractional)
Sb 0.000 0.000 0.000  -0.01
S 0.000 0.500 0.000  0.03
S 0.500 0.000 0.000  0.03
H 0.500 0.500 0.500  0.37
P 0.000 0.000 0.500  0.63

Properties
- Total magnetization: 0.483 μB/atom
- Space group: No. 123


Version two
## SbPHS2 (PBE)

Data for SbPHS2 after structural relaxation.

Unit cell a=4.827 b=4.827 c=3.347 alpha=90.00 beta=90.00 gamma=90.00
Element x y z (fractional)
Sb 0.500 0.500 0.500
S 0.000 0.500 0.000
S 0.500 0.000 0.000
H 0.000 0.000 0.000
P 0.000 0.000 0.500

Properties
- Total magnetization: 0.000 μB/atom
- Space group: No. 123


Relative calculated energies, zero for the most stable structure, unit eV/atom: version one 0.635; version two 0.000.


Version one
## ScP2HS (PBE)

Data for ScP2HS after structural relaxation.

Unit cell a=3.621 b=3.621 c=5.436 alpha=90.00 beta=90.00 gamma=90.00
Element x y z (fractional)
Sc 0.500 0.500 0.500
P 0.000 0.500 0.000
P 0.500 0.000 0.000
S 0.000 0.000 0.500
H 0.000 0.000 0.000

Properties
- Total magnetization: 0.000 μB/atom
- Space group: No. 123


Version two
## ScP2HS (PBE)

Data for ScP2HS after structural relaxation.

Unit cell a=5.009 b=5.009 c=4.874 alpha=90.00 beta=90.00 gamma=90.00
Site moments in Bohr magnetons follow the coordinates.
Element x y z (fractional)
Sc 0.000 0.000 0.000  0.03
P 0.000 0.500 0.000  -0.19
P 0.500 0.000 0.000  -0.19
S 0.000 0.000 0.500  -0.05
H 0.500 0.500 0.500  0.35

Properties
- Total magnetization: 0.009 μB/atom
- Space group: No. 123


Relative calculated energies, zero for the most stable structure, unit eV/atom: version one 0.000; version two 0.922.


Version one
## PHSeS (PBE)

Data for PHSeS after structural relaxation.

Unit cell a=2.913 b=5.601 c=5.791 alpha=93.63 beta=103.36 gamma=105.00
Element x y z (fractional)
P 0.780 0.236 0.256
H 0.122 0.558 0.654
Se 0.550 0.821 0.206
S 0.989 0.304 0.638

Properties
- Total magnetization: 0.000 μB/atom
- Space group: No. 1


Version two
## PHSeS (PBE)

Data for PHSeS after structural relaxation.

Unit cell a=3.508 b=4.923 c=5.028 alpha=90.00 beta=93.37 gamma=90.00
Element x y z (fractional)
P 0.617 0.500 0.590
H 0.909 0.000 0.887
Se 0.546 0.000 0.716
S 0.092 0.500 0.328

Properties
- Total magnetization: 0.000 μB/atom
- Space group: No. 6


Version three
## PHSeS (PBE)

Data for PHSeS after structural relaxation.

Unit cell a=3.354 b=4.922 c=5.816 alpha=100.83 beta=90.14 gamma=92.67
Element x y z (fractional)
P 0.126 0.350 0.121
H 0.289 0.711 0.548
Se 0.038 0.449 0.517
S 0.628 0.051 0.060

Properties
- Total magnetization: 0.000 μB/atom
- Space group: No. 1


Relative calculated energies, zero for the most stable structure, unit eV/atom: version one 0.061; version two 0.073; version three 0.000.


Version one
## PH2SeS (PBE)

Data for PH2SeS after structural relaxation.

Unit cell a=4.272 b=5.552 c=5.544 alpha=72.98 beta=68.22 gamma=67.54
Element x y z (fractional)
P 0.505 0.249 0.221
H 0.270 0.759 0.177
H 0.680 0.100 0.012
Se 0.952 0.164 0.419
S 0.440 0.619 0.974

Properties
- Total magnetization: 0.000 μB/atom
- Space group: No. 1


Version two
## PH2SeS (PBE)

Data for PH2SeS after structural relaxation.

Unit cell a=2.647 b=5.599 c=6.086 alpha=94.13 beta=90.80 gamma=103.11
Element x y z (fractional)
P 0.894 0.020 0.147
H 0.834 0.872 0.596
H 0.987 0.204 0.326
Se 0.999 0.259 0.853
S 0.744 0.690 0.428

Properties
- Total magnetization: 0.000 μB/atom
- Space group: No. 1


Relative calculated energies, zero for the most stable structure, unit eV/atom: version one 0.000; version two 0.158.


Version one
## PH2SeS (PBE)

Data for PH2SeS after structural relaxation.

Unit cell a=3.556 b=5.031 c=7.047 alpha=70.49 beta=88.68 gamma=72.26
Element x y z (fractional)
P 0.372 0.397 0.294
H 0.871 0.927 0.067
H 0.324 0.296 0.700
Se 0.280 0.591 0.542
S 0.257 0.793 0.042

Properties
- Total magnetization: 0.000 μB/atom
- Space group: No. 1


Version two
## PH2SeS (PBE)

Data for PH2SeS after structural relaxation.

Unit cell a=6.408 b=4.245 c=9.692 alpha=90.00 beta=126.64 gamma=90.00
Element x y z (fractional)
P 0.125 0.000 0.757
P 0.125 0.500 0.257
H 0.606 0.000 0.868
H 0.606 0.500 0.368
H 0.301 0.000 0.940
H 0.301 0.500 0.440
Se 0.926 0.000 0.190
Se 0.926 0.500 0.690
S 0.392 0.000 0.699
S 0.392 0.500 0.199

Properties
- Total magnetization: 0.000 μB/atom
- Space group: No. 8


Version three
## PH2SeS (PBE)

Data for PH2SeS after structural relaxation.

Unit cell a=5.077 b=3.019 c=6.691 alpha=90.00 beta=103.45 gamma=90.00
Element x y z (fractional)
P 0.882 0.000 0.830
H 0.118 0.000 0.003
H 0.146 0.000 0.483
Se 0.381 0.000 0.384
S 0.669 0.500 0.950

Properties
- Total magnetization: 0.000 μB/atom
- Space group: No. 6


Version four
## PH2SeS (PBE)

Data for PH2SeS after structural relaxation.

Unit cell a=2.609 b=5.048 c=7.638 alpha=99.67 beta=95.33 gamma=90.59
Element x y z (fractional)
P 0.733 0.600 0.143
H 0.691 0.373 0.002
H 0.705 0.786 0.021
Se 0.848 0.932 0.649
S 0.824 0.305 0.535

Properties
- Total magnetization: 0.000 μB/atom
- Space group: No. 1


Relative calculated energies, zero for the most stable structure, unit eV/atom: version one 0.131; version two 0.000; version three 0.137; version four 0.201.


Version one
## PHSeS2 (PBE)

Data for PHSeS2 after structural relaxation.

Unit cell a=4.882 b=4.882 c=4.925 alpha=90.00 beta=90.00 gamma=90.00
Site moments in Bohr magnetons follow the coordinates.
Element x y z (fractional)
P 0.000 0.000 0.500  0.56
S 0.000 0.500 0.000  0.04
S 0.500 0.000 0.000  0.04
Se 0.000 0.000 0.000  -0.03
H 0.500 0.500 0.500  0.36

Properties
- Total magnetization: 0.436 μB/atom
- Space group: No. 123


Version two
## PHSeS2 (PBE)

Data for PHSeS2 after structural relaxation.

Unit cell a=4.767 b=4.767 c=3.197 alpha=90.00 beta=90.00 gamma=90.00
Element x y z (fractional)
P 0.000 0.000 0.500
S 0.000 0.500 0.000
S 0.500 0.000 0.000
Se 0.500 0.500 0.500
H 0.000 0.000 0.000

Properties
- Total magnetization: 0.000 μB/atom
- Space group: No. 123


Relative calculated energies, zero for the most stable structure, unit eV/atom: version one 0.509; version two 0.000.


Version one
## SnPHS2 (PBE)

Data for SnPHS2 after structural relaxation.

Unit cell a=4.890 b=4.890 c=3.339 alpha=90.00 beta=90.00 gamma=90.00
Element x y z (fractional)
P 0.000 0.000 0.500
S 0.000 0.500 0.000
S 0.500 0.000 0.000
Sn 0.500 0.500 0.500
H 0.000 0.000 0.000

Properties
- Total magnetization: 0.000 μB/atom
- Space group: No. 123


Version two
## SnPHS2 (PBE)

Data for SnPHS2 after structural relaxation.

Unit cell a=5.069 b=5.069 c=5.227 alpha=90.00 beta=90.00 gamma=90.00
Site moments in Bohr magnetons follow the coordinates.
Element x y z (fractional)
P 0.000 0.000 0.500  0.62
S 0.000 0.500 0.000  0.03
S 0.500 0.000 0.000  0.03
Sn 0.000 0.000 0.000  0.00
H 0.500 0.500 0.500  0.37

Properties
- Total magnetization: 0.485 μB/atom
- Space group: No. 123


Relative calculated energies, zero for the most stable structure, unit eV/atom: version one 0.000; version two 0.671.


Version one
## SnP2HS (PBE)

Data for SnP2HS after structural relaxation.

Unit cell a=3.730 b=3.730 c=6.213 alpha=90.00 beta=90.00 gamma=90.00
Element x y z (fractional)
P 0.000 0.500 0.000
P 0.500 0.000 0.000
S 0.000 0.000 0.500
Sn 0.500 0.500 0.500
H 0.000 0.000 0.000

Properties
- Total magnetization: 0.000 μB/atom
- Space group: No. 123


Version two
## SnP2HS (PBE)

Data for SnP2HS after structural relaxation.

Unit cell a=5.164 b=5.164 c=5.098 alpha=90.00 beta=90.00 gamma=90.00
Site moments in Bohr magnetons follow the coordinates.
Element x y z (fractional)
P 0.000 0.500 0.000  0.35
P 0.500 0.000 0.000  0.35
S 0.000 0.000 0.500  0.07
Sn 0.000 0.000 0.000  -0.01
H 0.500 0.500 0.500  0.36

Properties
- Total magnetization: 0.517 μB/atom
- Space group: No. 123


Relative calculated energies, zero for the most stable structure, unit eV/atom: version one 0.000; version two 0.859.


Version one
## TaP2HS (PBE)

Data for TaP2HS after structural relaxation.

Unit cell a=3.631 b=3.631 c=4.860 alpha=90.00 beta=90.00 gamma=90.00
Element x y z (fractional)
P 0.000 0.500 0.000
P 0.500 0.000 0.000
S 0.000 0.000 0.500
H 0.000 0.000 0.000
Ta 0.500 0.500 0.500

Properties
- Total magnetization: 0.000 μB/atom
- Space group: No. 123


Version two
## TaP2HS (PBE)

Data for TaP2HS after structural relaxation.

Unit cell a=4.846 b=4.846 c=4.771 alpha=90.00 beta=90.00 gamma=90.00
Site moments in Bohr magnetons follow the coordinates.
Element x y z (fractional)
P 0.000 0.500 0.000  -0.06
P 0.500 0.000 0.000  -0.06
S 0.000 0.000 0.500  -0.01
H 0.500 0.500 0.500  0.36
Ta 0.000 0.000 0.000  0.07

Properties
- Total magnetization: 0.138 μB/atom
- Space group: No. 123


Relative calculated energies, zero for the most stable structure, unit eV/atom: version one 0.000; version two 0.213.